Model w:
An optimized crystal structure of NbI3Cl2, computed with PBE.

Magnetic moment (μB per formula unit): 0.0
Volume (Å³ per atom): 39.243

a b c (Å): 6.840 7.477 10.617
angles (deg): 107.77 93.55 111.72
Positions (direct):
Nb 0.105 0.220 0.219
Nb 0.895 0.780 0.781
I 0.085 0.814 0.572
I 0.240 0.177 0.956
I 0.452 0.574 0.325
I 0.548 0.426 0.675
I 0.760 0.823 0.044
I 0.915 0.186 0.428
Cl 0.106 0.630 0.850
Cl 0.290 0.022 0.246
Cl 0.710 0.978 0.754
Cl 0.894 0.370 0.150



Model x:
An optimized crystal structure of NbI3Cl2, computed with PBE.

Magnetic moment (μB per formula unit): 0.0
Volume (Å³ per atom): 37.708

a b c (Å): 7.233 7.775 9.903
angles (deg): 68.35 87.96 62.40
Positions (direct):
Nb 0.098 0.288 0.216
Nb 0.902 0.712 0.784
I 0.129 0.879 0.846
I 0.301 0.498 0.247
I 0.448 0.917 0.328
I 0.552 0.083 0.672
I 0.699 0.502 0.753
I 0.871 0.121 0.154
Cl 0.066 0.677 0.585
Cl 0.203 0.344 0.958
Cl 0.797 0.656 0.042
Cl 0.934 0.323 0.415



Which is the most stable structure? model w is the most stable.



Model w:
An optimized crystal structure of NbICl2O, computed with PBE.

Magnetic moment (μB per formula unit): 0.0
Volume (Å³ per atom): 28.851

a b c (Å): 7.281 7.281 11.961
angles (deg): 119.08 119.08 31.82
Positions (direct):
Nb 0.133 0.133 0.209
Nb 0.867 0.867 0.791
I 0.038 0.174 0.952
I 0.826 0.962 0.048
Cl 0.050 0.167 0.385
Cl 0.262 0.379 0.288
Cl 0.621 0.738 0.712
Cl 0.833 0.950 0.615
O 0.327 0.423 0.804
O 0.577 0.673 0.196



Model x:
An optimized crystal structure of NbICl2O, computed with PBE.

Magnetic moment (μB per formula unit): 0.0
Volume (Å³ per atom): 28.480

a b c (Å): 7.202 7.202 12.106
angles (deg): 119.60 119.60 31.92
Positions (direct):
Nb 0.120 0.120 0.184
Nb 0.880 0.880 0.816
I 0.049 0.150 0.390
I 0.850 0.951 0.610
Cl 0.038 0.152 0.960
Cl 0.261 0.364 0.276
Cl 0.636 0.739 0.724
Cl 0.848 0.962 0.040
O 0.346 0.430 0.826
O 0.570 0.654 0.174



Which is the most stable structure? model x is the most stable.



Model w:
An optimized crystal structure of NdICl2, computed with PBE.

Magnetic moment (μB per formula unit): 0.0
Volume (Å³ per atom): 29.203

a b c (Å): 7.384 4.381 7.959
angles (deg): 90.00 114.85 90.00
Positions (direct):
Nd 0.175 0.250 0.343
Nd 0.825 0.750 0.657
I 0.241 0.750 0.068
I 0.759 0.250 0.932
Cl 0.091 0.250 0.675
Cl 0.396 0.750 0.583
Cl 0.604 0.250 0.417
Cl 0.909 0.750 0.325



Model x:
An optimized crystal structure of NdICl2, computed with PBE.

Magnetic moment (μB per formula unit): 0.0
Volume (Å³ per atom): 30.444

a b c (Å): 6.962 6.962 8.822
angles (deg): 90.00 90.00 145.28
Positions (direct):
Nd 0.243 0.757 0.750
Nd 0.757 0.243 0.250
I 0.435 0.565 0.250
I 0.565 0.435 0.750
Cl 0.165 0.835 0.070
Cl 0.165 0.835 0.430
Cl 0.835 0.165 0.570
Cl 0.835 0.165 0.930



Which is the most stable structure? model w is the most stable.